1.
This record from Alexandria describes an optimized crystal structure of NaLiSmCl5. The functional is PBE-GGA.

Formation energy from raw total energies ... -2.022 eV per atom
Theoretical density ... 2.576 Mg/m³
Uncorrected energy ... -66.73 eV for the cell shown
Total magnetization ... 0.00 μB/atom

```
16
Lattice="0.084 5.912 4.399 -5.493 0.306 -4.904 -3.013 -7.173 6.128" Properties=species:S:1:pos:R:3 pbc="T T T"
Cl -5.704 -0.943 -2.469
Cl -3.899 -2.394 2.608
Na -4.360 -1.664 5.352
Sm -1.507 -3.586 3.064
Cl -1.150 1.398 4.935
Sm 0.000 0.000 0.000
Cl -6.845 -2.968 4.720
Na -4.061 0.708 0.272
Cl -6.198 -5.749 2.091
Li -6.085 -3.398 2.474
Cl -1.576 2.012 0.904
Cl -2.223 4.794 3.533
Cl -7.272 -2.353 0.688
Cl -4.523 1.439 3.016
Li -2.336 2.442 3.150
Cl -2.717 -0.012 8.092
```

=====

2.
This record from Alexandria describes an optimized crystal structure of Na2LiSmCl6. The functional is PBE-GGA.

Formation energy from raw total energies ... -1.858 eV per atom
Theoretical density ... 2.467 Mg/m³
Uncorrected energy ... -38.93 eV for the cell shown
Total magnetization ... 0.00 μB/atom
Energy above the lowest structure with this stoichiometry ... 125 meV/atom

```
10
Lattice="0.000 5.193 5.193 5.193 0.000 5.193 5.193 5.193 0.000" Properties=species:S:1:pos:R:3 pbc="T T T"
Li 5.193 5.193 5.193
Cl 5.193 5.193 7.714
Cl 2.671 5.193 5.193
Na 7.789 7.789 7.789
Cl 7.714 5.193 5.193
Na 2.596 2.596 2.596
Cl 5.193 7.714 5.193
Cl 5.193 2.671 5.193
Cl 5.193 5.193 2.671
Sm 0.000 0.000 0.000
```

=====

3.
This record from Alexandria describes an optimized crystal structure of Na2LiSmCl6. The functional is PBE-GGA.

Formation energy from raw total energies ... -1.983 eV per atom
Theoretical density ... 2.661 Mg/m³
Uncorrected energy ... -40.18 eV for the cell shown
Total magnetization ... 0.00 μB/atom
Energy above the lowest structure with this stoichiometry ... 0 meV/atom

```
10
Lattice="-3.643 -2.912 5.162 -2.107 -6.605 -0.526 3.358 -5.059 4.197" Properties=species:S:1:pos:R:3 pbc="T T T"
Cl -3.816 -8.007 5.636
Cl -1.728 -4.385 4.071
Cl -1.844 -8.117 1.633
Cl 1.258 -7.036 3.420
Na 3.041 -4.945 4.036
Sm -1.731 -3.238 1.639
Na -1.575 -7.157 4.227
Cl -0.569 -9.779 5.099
Cl -0.230 -6.495 6.763
Li -2.769 -10.578 6.131
```

=====

4.
This record from Alexandria describes an optimized crystal structure of NaLiSnCl4. The functional is PBE-GGA.

Formation energy from raw total energies ... -1.446 eV per atom
Theoretical density ... 2.593 Mg/m³
Uncorrected energy ... -49.49 eV for the cell shown
Total magnetization ... 0.00 μB/atom

```
14
Lattice="8.201 0.000 0.000 4.100 6.946 0.137 4.100 2.247 6.575" Properties=species:S:1:pos:R:3 pbc="T T T"
Na 4.100 4.596 3.356
Li 8.201 4.755 1.004
Cl 6.119 3.414 4.960
Cl 6.119 5.779 1.752
Cl 8.201 2.327 1.654
Cl 8.201 6.866 5.058
Cl 10.283 3.414 4.960
Sn 2.050 1.123 3.287
Sn 6.151 1.123 3.287
Cl 10.283 5.779 1.752
Cl 12.301 6.880 5.069
Na 0.000 0.000 0.000
Li 8.201 4.438 5.707
Cl 4.100 2.313 1.643
```

=====

5.
This record from Alexandria describes an optimized crystal structure of Na2LiSnCl5. The functional is PBE-GGA.

Formation energy from raw total energies ... -1.466 eV per atom
Theoretical density ... 2.491 Mg/m³
Uncorrected energy ... -61.97 eV for the cell shown
Total magnetization ... 0.00 μB/atom

```
18
Lattice="3.950 0.000 0.000 -1.975 7.919 0.000 0.000 0.000 14.873" Properties=species:S:1:pos:R:3 pbc="T T T"
Cl 0.000 1.789 0.796
Cl 1.975 4.392 2.533
Cl 1.975 4.004 13.753
Cl 1.975 0.567 3.925
Cl 0.000 3.527 9.970
Li 1.975 3.526 7.967
Na 1.975 7.138 2.379
Cl 0.000 7.352 11.361
Na 0.000 0.780 9.816
Na 0.000 2.786 3.792
Li 0.000 4.393 0.530
Na 1.975 5.133 11.229
Cl 0.000 3.914 6.317
Cl 1.975 1.092 7.847
Sn 1.975 1.196 13.881
Sn 0.000 6.722 6.445
Cl 0.000 6.827 0.410
Cl 1.975 6.130 8.232
```

=====

6.
This record from Alexandria describes an optimized crystal structure of NaSr2LiCl6. The functional is PBE-GGA.

Formation energy from raw total energies ... -2.182 eV per atom
Theoretical density ... 2.498 Mg/m³
Uncorrected energy ... -39.50 eV for the cell shown
Total magnetization ... 0.00 μB/atom

```
10
Lattice="-6.510 1.039 2.675 -3.847 -5.545 2.253 -0.971 -0.870 7.439" Properties=species:S:1:pos:R:3 pbc="T T T"
Cl -3.115 -2.967 6.937
Cl -6.251 -4.064 8.399
Li -3.331 -1.472 1.926
Na -8.986 -4.156 8.131
Cl -5.678 -0.535 7.768
Cl -8.719 -2.476 5.732
Cl -5.278 -5.298 4.566
Cl -4.863 -0.766 3.893
Sr -1.111 -0.906 7.110
Sr -5.820 -2.727 5.820
```

=====

7.
This record from Alexandria describes an optimized crystal structure of NaLiTaCl6. The functional is PBE-GGA.

Formation energy from raw total energies ... -1.482 eV per atom
Theoretical density ... 3.119 Mg/m³
Uncorrected energy ... -79.01 eV for the cell shown
Total magnetization ... 0.11 μB/atom

```
18
Lattice="6.470 0.000 0.000 -3.235 5.604 0.000 0.000 0.000 12.439" Properties=species:S:1:pos:R:3 pbc="T T T"
Na 0.000 0.000 0.000
Cl 2.325 0.104 1.715
Na 0.000 0.000 6.220
Li 3.235 1.868 9.330
Li 0.000 3.736 3.110
Cl 0.910 5.499 10.724
Cl 2.163 3.538 1.715
Cl 1.983 3.642 7.935
Cl 1.072 2.066 10.724
Cl 1.253 1.961 4.504
Ta 0.000 3.736 9.330
Cl -0.910 5.499 7.935
Cl -1.983 3.642 10.724
Ta 3.235 1.868 3.110
Cl -1.072 2.066 7.935
Cl 4.145 0.104 4.504
Cl 4.308 3.538 4.504
Cl 5.218 1.961 1.715
```

=====

8.
This record from Alexandria describes an optimized crystal structure of NaLiTcCl6. The functional is PBE-GGA.

Formation energy from raw total energies ... -1.201 eV per atom
Theoretical density ... 2.568 Mg/m³
Uncorrected energy ... -70.97 eV for the cell shown
Total magnetization ... 0.33 μB/atom

```
18
Lattice="6.424 0.000 0.000 -3.212 5.563 0.000 0.000 0.000 12.325" Properties=species:S:1:pos:R:3 pbc="T T T"
Tc 3.212 1.854 3.081
Li 0.000 3.709 3.081
Cl 2.158 3.489 1.712
Na 0.000 0.000 0.000
Cl 0.889 5.439 10.613
Cl 5.155 1.950 1.712
Cl -1.943 3.614 10.613
Cl 2.323 0.124 1.712
Li 3.212 1.854 9.244
Cl -1.054 2.074 7.874
Cl 4.101 0.124 4.451
Cl -0.889 5.439 7.874
Cl 1.054 2.074 10.613
Na 0.000 0.000 6.163
Cl 1.943 3.614 7.874
Cl 1.269 1.950 4.451
Cl 4.266 3.489 4.451
Tc 0.000 3.709 9.244
```